[1]
## AuBrCl2 (GGA-PBEsol)

Data for a relaxed AuBrCl2 crystal.

DOS(E_F) = 0.3378 states/eV/atom
ΔE to the lowest computed polymorph = 27.2 meV/atom
Formation energy without anion corrections = -0.017 eV per atom
Crystal system = orthorhombic

a b c (Å): 3.461 5.611 5.611
angles (deg): 75.14 72.03 72.03
Element x y z (fractional)
Au1 0.500 0.000 0.000
Br1 0.000 0.500 0.500
Cl1 0.199 0.801 0.801
Cl2 0.801 0.199 0.199

=====

[2]
## AuBrCl2 (GGA-PBEsol)

Data for a relaxed AuBrCl2 crystal.

ΔE to the lowest computed polymorph = 0.0 meV/atom
Formation energy without anion corrections = -0.044 eV per atom
Crystal system = orthorhombic

a b c (Å): 3.632 4.047 7.875
angles (deg): 90.00 90.00 116.66
Element x y z (fractional)
Au1 0.000 0.000 0.502
Br1 0.500 0.000 0.721
Cl1 0.000 0.000 0.971
Cl2 0.500 0.000 0.305

=====

[3]
## AuBrCl2 (GGA-PBEsol)

Data for a relaxed AuBrCl2 crystal.

DOS(E_F) = 1.3518 states/eV/atom
ΔE to the lowest computed polymorph = 225.6 meV/atom
Formation energy without anion corrections = 0.182 eV per atom
Crystal system = trigonal

a b c (Å): 3.805 3.805 7.443
angles (deg): 75.19 75.19 60.00
Element x y z (fractional)
Au1 0.500 0.500 0.500
Br1 0.000 0.000 0.000
Cl1 0.229 0.229 0.312
Cl2 0.771 0.771 0.688